Entry 1:
# PBE Ac8Dy3Y2, relaxed
data_Ac8Dy3Y2
_space_group_name_H-M_alt 'P 1'
_space_group_IT_number 1
_cell_length_a 6.660
_cell_length_b 6.636
_cell_length_c 12.637
_cell_angle_alpha 69.65
_cell_angle_beta 84.92
_cell_angle_gamma 80.31
loop_
_space_group_symop_operation_xyz
'x,y,z'
loop_
_atom_site_label
_atom_site_type_symbol
_atom_site_fract_x
_atom_site_fract_y
_atom_site_fract_z
Ac1 Ac 0.307 0.543 0.617
Dy1 Dy 0.538 0.702 0.073
Ac2 Ac 0.155 0.773 0.307
Y1 Y 0.766 0.852 0.537
Ac3 Ac 0.084 0.393 0.150
Ac4 Ac 0.617 0.080 0.223
Ac5 Ac 0.845 0.227 0.693
Ac6 Ac 0.693 0.457 0.383
Dy2 Dy 0.462 0.298 0.927
Dy3 Dy 0.000 0.000 0.000
Y2 Y 0.234 0.148 0.463
Ac7 Ac 0.916 0.607 0.850
Ac8 Ac 0.383 0.920 0.777
# - energy of formation (kJ/mol of atoms) = 5.7

***

Entry 2:
# PBE Al2Cu2Au5, relaxed
data_Al2Cu2Au5
_space_group_name_H-M_alt 'P 1'
_space_group_IT_number 1
_cell_length_a 4.708
_cell_length_b 7.560
_cell_length_c 9.346
_cell_angle_alpha 113.86
_cell_angle_beta 104.59
_cell_angle_gamma 90.00
loop_
_space_group_symop_operation_xyz
'x,y,z'
loop_
_atom_site_label
_atom_site_type_symbol
_atom_site_fract_x
_atom_site_fract_y
_atom_site_fract_z
Al1 Al 0.720 0.935 0.500
Al2 Al 0.000 0.877 0.000
Cu1 Cu 0.511 0.124 0.148
Au1 Au 0.210 0.028 0.324
Au2 Au 0.790 0.277 0.500
Cu2 Cu 0.863 0.476 0.852
Al3 Al 0.280 0.435 0.500
Au3 Au 0.387 0.205 0.676
Cu3 Cu 0.489 0.976 0.852
Au4 Au 0.016 0.291 0.168
Au5 Au 0.984 0.123 0.832
Au6 Au 0.790 0.705 0.676
Au7 Au 0.210 0.777 0.500
Au8 Au 0.348 0.623 0.832
Au9 Au 0.652 0.791 0.168
Au10 Au 0.613 0.528 0.324
Cu4 Cu 0.137 0.624 0.148
Al4 Al 0.500 0.377 0.000
# - energy relative to the lowest polymorph listed for this composition (meV/atom) = 14.7
# - energy of formation (kJ/mol of atoms) = -17.9

***

Entry 3:
# PBE HoScTlGa, relaxed
data_HoScTlGa
_space_group_name_H-M_alt 'P 1'
_space_group_IT_number 1
_cell_length_a 5.075
_cell_length_b 5.075
_cell_length_c 5.075
_cell_angle_alpha 60.00
_cell_angle_beta 60.00
_cell_angle_gamma 60.00
loop_
_space_group_symop_operation_xyz
'x,y,z'
loop_
_atom_site_label
_atom_site_type_symbol
_atom_site_fract_x
_atom_site_fract_y
_atom_site_fract_z
Ho1 Ho 0.000 0.000 0.000
Sc1 Sc 0.500 0.500 0.500
Tl1 Tl 0.750 0.750 0.750
Ga1 Ga 0.250 0.250 0.250
# - energy relative to the lowest polymorph listed for this composition (meV/atom) = 32.3
# - energy of formation (kJ/mol of atoms) = -38.0

***

Entry 4:
# PBE Li3Np2CoS6, relaxed
data_Li3Np2CoS6
_space_group_name_H-M_alt 'P 1'
_space_group_IT_number 1
_cell_length_a 6.414
_cell_length_b 6.414
_cell_length_c 6.545
_cell_angle_alpha 99.31
_cell_angle_beta 99.31
_cell_angle_gamma 120.04
loop_
_space_group_symop_operation_xyz
'x,y,z'
loop_
_atom_site_label
_atom_site_type_symbol
_atom_site_fract_x
_atom_site_fract_y
_atom_site_fract_z
Li1 Li 0.164 0.836 0.500
S1 S 0.918 0.605 0.754
Li2 Li 0.836 0.164 0.500
S2 S 0.605 0.918 0.754
S3 S 0.395 0.082 0.246
S4 S 0.232 0.232 0.759
Li3 Li 0.500 0.500 0.500
S5 S 0.082 0.395 0.246
Np1 Np 0.333 0.667 0.000
Np2 Np 0.667 0.333 0.000
S6 S 0.768 0.768 0.241
Co1 Co 0.000 0.000 0.000
# - formation energy from raw total energies (meV/atom) = -1128

***

Entry 5:
# PBE Co4TePt, relaxed
data_Co4TePt
_space_group_name_H-M_alt 'P 1'
_space_group_IT_number 1
_cell_length_a 4.895
_cell_length_b 4.895
_cell_length_c 4.895
_cell_angle_alpha 60.00
_cell_angle_beta 60.00
_cell_angle_gamma 60.00
loop_
_space_group_symop_operation_xyz
'x,y,z'
loop_
_atom_site_label
_atom_site_type_symbol
_atom_site_fract_x
_atom_site_fract_y
_atom_site_fract_z
Te1 Te 0.000 0.000 0.000
Co1 Co 0.376 0.376 0.376
Co2 Co 0.871 0.376 0.376
Co3 Co 0.376 0.376 0.871
Pt1 Pt 0.750 0.750 0.750
Co4 Co 0.376 0.871 0.376
# - formation energy from raw total energies (meV/atom) = 274

***

Entry 6:
# PBE Pa2ZnMo, relaxed
data_Pa2ZnMo
_space_group_name_H-M_alt 'P 1'
_space_group_IT_number 1
_cell_length_a 3.110
_cell_length_b 3.110
_cell_length_c 10.948
_cell_angle_alpha 81.83
_cell_angle_beta 81.83
_cell_angle_gamma 60.00
loop_
_space_group_symop_operation_xyz
'x,y,z'
loop_
_atom_site_label
_atom_site_type_symbol
_atom_site_fract_x
_atom_site_fract_y
_atom_site_fract_z
Pa1 Pa 0.905 0.905 0.285
Pa2 Pa 0.095 0.095 0.715
Zn1 Zn 0.000 0.000 0.000
Mo1 Mo 0.500 0.500 0.500
# - energy relative to the lowest polymorph listed for this composition (meV/atom) = 331.6
# - energy of formation (kJ/mol of atoms) = 41.5

***

Number 1: magnetic moment 0.0 Bohr magnetons per cell. Number 2: magnetic moment 0.0 Bohr magnetons per cell. Number 3: magnetic moment 0.0 Bohr magnetons per cell. Number 4: magnetic moment 7.9 Bohr magnetons per cell. Number 5: magnetic moment 7.3 Bohr magnetons per cell. Number 6: magnetic moment 0.0 Bohr magnetons per cell.